Version A
Compound: NaCe2Tc
Source: the Alexandria database
Functional: PBE
Structure: optimized geometry

Unit cell a=3.3576 b=3.3576 c=9.7122 alpha=90.00 beta=90.00 gamma=90.00
With the nearest neighbours (Å) after each atom.
Positions (direct):
Tc (0.5000, 0.5000, 0.0000)  8 Ce 2.94
Ce (0.0000, 0.0000, 0.8214)  4 Tc 2.94
Ce (0.0000, 0.0000, 0.1786)  4 Tc 2.94
Na (0.5000, 0.5000, 0.5000)  4 Na 3.36

Its density of states at the Fermi level is 8.8 states/eV per cell. Its symmetry is P4/mmm, No. 123. The total magnetization comes out at 1.3 μB per formula unit. As for the crystal system: tetragonal.

***

Version B
Compound: NaCe2Tc
Source: the Alexandria database
Functional: PBE
Structure: optimized geometry

Unit cell a=3.9341 b=3.9341 c=10.5843 alpha=79.29 beta=79.29 gamma=60.00
With the nearest neighbours (Å) after each atom.
Positions (direct):
Ce (0.1181, 0.1181, 0.6456)  3 Tc 2.73
Ce (0.8819, 0.8819, 0.3544)  3 Tc 2.73
Na (0.0000, 0.0000, 0.0000)  2 Ce 3.66, 6 Na 3.93
Tc (0.5000, 0.5000, 0.5000)  6 Ce 2.73

Its density of states at the Fermi level is 8.8 states/eV per cell. Its symmetry is R-3m, No. 166. The total magnetization comes out at 0.8 μB per formula unit. As for the crystal system: trigonal.

***

Which one is the least stable? From the structures above, version B.